#P
A geometry-optimized Ca3VTc structure. Source: the Alexandria database, functional PBE-GGA.

a b c (Å): 5.5478 5.5478 5.5478
angles (deg): 90.00 90.00 90.00
Space group Pm-3m (No. 221)
Asymmetric unit:
Ca1 0.0000 0.0000 0.5000 x3
V1 0.0000 0.0000 0.0000 x1
Tc1 0.5000 0.5000 0.5000 x1

Properties
The density of states at the Fermi level is 10.7 states/eV per cell.

=====

#Q
A geometry-optimized Ca3VTc structure. Source: the Alexandria database, functional PBE-GGA.

a b c (Å): 5.4099 5.4099 5.4099
angles (deg): 90.00 90.00 90.00
Space group Pm-3m (No. 221)
Asymmetric unit:
Ca1 0.0000 0.0000 0.5000 x3
V1 0.5000 0.5000 0.5000 x1
Tc1 0.0000 0.0000 0.0000 x1

Properties
The density of states at the Fermi level is 8.6 states/eV per cell.

=====

According to the calculations, the structures order from most to least stable as #Q, #P.

=====

#P
A geometry-optimized CaTcW3 structure. Source: the Alexandria database, functional PBE-GGA.

a b c (Å): 4.5180 4.5180 4.5180
angles (deg): 90.00 90.00 90.00
Space group Pm-3m (No. 221)
Asymmetric unit:
Ca1 0.0000 0.0000 0.0000 x1
Tc1 0.5000 0.5000 0.5000 x1
W1 0.0000 0.0000 0.5000 x3

Properties
The density of states at the Fermi level is 8.1 states/eV per cell.

=====

#Q
A geometry-optimized CaTcW3 structure. Source: the Alexandria database, functional PBE-GGA.

a b c (Å): 4.8118 4.8118 4.8118
angles (deg): 90.00 90.00 90.00
Space group Pm-3m (No. 221)
Asymmetric unit:
Ca1 0.0000 0.0000 0.0000 x1
Tc1 0.5000 0.5000 0.5000 x1
W1 0.0000 0.5000 0.5000 x3

Properties
The density of states at the Fermi level is 5.5 states/eV per cell.

=====

According to the calculations, the structures order from most to least stable as #Q, #P.

=====

#P
A geometry-optimized Ca2TcW2 structure. Source: the Alexandria database, functional PBE-GGA.

a b c (Å): 6.4701 6.4701 5.2767
angles (deg): 90.00 90.00 90.00
Space group P4/mbm (No. 127)
Asymmetric unit:
Ca1 0.1764 0.3236 0.0000 x4
Tc1 0.0000 0.0000 0.5000 x2
W1 0.1372 0.6372 0.5000 x4

Properties
The density of states at the Fermi level is 6.3 states/eV per cell.

=====

#Q
A geometry-optimized Ca2TcW2 structure. Source: the Alexandria database, functional PBE-GGA.

a b c (Å): 3.7654 3.7654 14.8021
angles (deg): 90.00 90.00 90.00
Space group I4/mmm (No. 139)
Asymmetric unit:
Ca1 0.0000 0.5000 0.2500 x4
Tc1 0.0000 0.0000 0.0000 x2
W1 0.0000 0.0000 0.4238 x4

Properties
The density of states at the Fermi level is 9.0 states/eV per cell.

=====

According to the calculations, the structures order from most to least stable as #P, #Q.